# 1
# Tb2HoCuSn3Ir2 PBE optimized geometry
data_Tb2HoCuSn3Ir2
_symmetry_space_group_name_H-M 'P 1'
_symmetry_Int_Tables_number 1
_cell_length_a 3.890
_cell_length_b 7.535
_cell_length_c 7.535
_cell_angle_alpha 119.88
_cell_angle_beta 90.00
_cell_angle_gamma 90.00
loop_
_symmetry_equiv_pos_as_xyz
'x,y,z'
loop_
_atom_site_label
_atom_site_type_symbol
_atom_site_fract_x
_atom_site_fract_y
_atom_site_fract_z
Tb1 Tb 0.000 0.203 0.797
Tb2 Tb 0.000 0.797 0.203
Ho1 Ho 0.000 0.391 0.391
Cu1 Cu 0.000 0.796 0.796
Sn1 Sn 0.500 0.057 0.057
Sn2 Sn 0.500 0.537 0.796
Sn3 Sn 0.500 0.796 0.537
Ir1 Ir 0.500 0.132 0.463
Ir2 Ir 0.500 0.463 0.132
# Total DFT energy (no corrections) = -5.98 eV/atom
# SG = Amm2, No. 38


# 2
# HoTm2Zn3CuIr2 PBE optimized geometry
data_HoTm2Zn3CuIr2
_symmetry_space_group_name_H-M 'P 1'
_symmetry_Int_Tables_number 1
_cell_length_a 3.780
_cell_length_b 7.136
_cell_length_c 7.136
_cell_angle_alpha 120.05
_cell_angle_beta 90.00
_cell_angle_gamma 90.00
loop_
_symmetry_equiv_pos_as_xyz
'x,y,z'
loop_
_atom_site_label
_atom_site_type_symbol
_atom_site_fract_x
_atom_site_fract_y
_atom_site_fract_z
Ho1 Ho 0.000 0.000 0.000
Tm1 Tm 0.000 0.411 0.822
Tm2 Tm 0.000 0.822 0.411
Zn1 Zn 0.500 0.164 0.411
Zn2 Zn 0.500 0.411 0.164
Zn3 Zn 0.500 0.658 0.658
Cu1 Cu 0.000 0.411 0.411
Ir1 Ir 0.500 0.078 0.744
Ir2 Ir 0.500 0.744 0.078
# Total DFT energy (no corrections) = -4.92 eV/atom
# SG = Amm2, No. 38
# Formation energy from the elements = -0.617 eV per atom


# 3
# KHoCuS3 PBE optimized geometry
data_KHoCuS3
_symmetry_space_group_name_H-M 'P 1'
_symmetry_Int_Tables_number 1
_cell_length_a 8.599
_cell_length_b 3.928
_cell_length_c 9.249
_cell_angle_alpha 90.00
_cell_angle_beta 107.07
_cell_angle_gamma 90.00
loop_
_symmetry_equiv_pos_as_xyz
'x,y,z'
loop_
_atom_site_label
_atom_site_type_symbol
_atom_site_fract_x
_atom_site_fract_y
_atom_site_fract_z
K1 K 0.205 0.250 0.237
K2 K 0.795 0.750 0.763
Ho1 Ho 0.327 0.750 0.859
Ho2 Ho 0.673 0.250 0.141
Cu1 Cu 0.082 0.250 0.607
Cu2 Cu 0.918 0.750 0.393
S1 S 0.110 0.250 0.861
S2 S 0.188 0.750 0.542
S3 S 0.461 0.750 0.161
S4 S 0.539 0.250 0.839
S5 S 0.812 0.250 0.458
S6 S 0.890 0.750 0.139
# Total DFT energy (no corrections) = -4.90 eV/atom
# SG = P2_1/m, No. 11


# 4
# KHo2Cu3Se5 PBE optimized geometry
data_KHo2Cu3Se5
_symmetry_space_group_name_H-M 'P 1'
_symmetry_Int_Tables_number 1
_cell_length_a 7.489
_cell_length_b 7.489
_cell_length_c 16.893
_cell_angle_alpha 90.00
_cell_angle_beta 90.00
_cell_angle_gamma 148.23
loop_
_symmetry_equiv_pos_as_xyz
'x,y,z'
loop_
_atom_site_label
_atom_site_type_symbol
_atom_site_fract_x
_atom_site_fract_y
_atom_site_fract_z
K1 K 0.062 0.938 0.750
K2 K 0.938 0.062 0.250
Ho1 Ho 0.192 0.808 0.093
Ho2 Ho 0.192 0.808 0.407
Ho3 Ho 0.808 0.192 0.593
Ho4 Ho 0.808 0.192 0.907
Cu1 Cu 0.341 0.659 0.750
Cu2 Cu 0.416 0.584 0.031
Cu3 Cu 0.416 0.584 0.469
Cu4 Cu 0.584 0.416 0.531
Cu5 Cu 0.584 0.416 0.969
Cu6 Cu 0.659 0.341 0.250
Se1 Se 0.166 0.834 0.572
Se2 Se 0.166 0.834 0.928
Se3 Se 0.251 0.749 0.250
Se4 Se 0.441 0.559 0.619
Se5 Se 0.441 0.559 0.881
Se6 Se 0.559 0.441 0.119
Se7 Se 0.559 0.441 0.381
Se8 Se 0.749 0.251 0.750
Se9 Se 0.834 0.166 0.072
Se10 Se 0.834 0.166 0.428
# Total DFT energy (no corrections) = -4.66 eV/atom
# SG = Cmcm, No. 63


# 5
# KTbHoCu2 PBE optimized geometry
data_KTbHoCu2
_symmetry_space_group_name_H-M 'P 1'
_symmetry_Int_Tables_number 1
_cell_length_a 3.731
_cell_length_b 8.947
_cell_length_c 8.947
_cell_angle_alpha 27.90
_cell_angle_beta 90.00
_cell_angle_gamma 90.00
loop_
_symmetry_equiv_pos_as_xyz
'x,y,z'
loop_
_atom_site_label
_atom_site_type_symbol
_atom_site_fract_x
_atom_site_fract_y
_atom_site_fract_z
K1 K 0.000 0.000 0.000
Tb1 Tb 0.500 0.330 0.330
Ho1 Ho 0.500 0.669 0.669
Cu1 Cu 0.000 0.205 0.205
Cu2 Cu 0.000 0.792 0.792
# Total DFT energy (no corrections) = -3.55 eV/atom
# SG = Amm2, No. 38


# 6
# KYHoCu2 PBE optimized geometry
data_KYHoCu2
_symmetry_space_group_name_H-M 'P 1'
_symmetry_Int_Tables_number 1
_cell_length_a 3.765
_cell_length_b 9.052
_cell_length_c 9.052
_cell_angle_alpha 27.61
_cell_angle_beta 90.00
_cell_angle_gamma 90.00
loop_
_symmetry_equiv_pos_as_xyz
'x,y,z'
loop_
_atom_site_label
_atom_site_type_symbol
_atom_site_fract_x
_atom_site_fract_y
_atom_site_fract_z
K1 K 0.000 0.000 0.000
Y1 Y 0.500 0.671 0.671
Ho1 Ho 0.500 0.329 0.329
Cu1 Cu 0.000 0.208 0.208
Cu2 Cu 0.000 0.795 0.795
# Total DFT energy (no corrections) = -3.93 eV/atom
# SG = Amm2, No. 38


# 7
# LaHoCu PBE optimized geometry
data_LaHoCu
_symmetry_space_group_name_H-M 'P 1'
_symmetry_Int_Tables_number 1
_cell_length_a 4.941
_cell_length_b 4.941
_cell_length_c 4.941
_cell_angle_alpha 60.00
_cell_angle_beta 60.00
_cell_angle_gamma 60.00
loop_
_symmetry_equiv_pos_as_xyz
'x,y,z'
loop_
_atom_site_label
_atom_site_type_symbol
_atom_site_fract_x
_atom_site_fract_y
_atom_site_fract_z
La1 La 0.000 0.000 0.000
Ho1 Ho 0.500 0.500 0.500
Cu1 Cu 0.750 0.750 0.750
# Total DFT energy (no corrections) = -4.33 eV/atom
# Relative energy among the computed polymorphs = 0.000 eV per atom
# SG = F-43m, No. 216
# Formation energy from the elements = 0.080 eV per atom


# 8
# LaHo3Cu4 PBE optimized geometry
data_LaHo3Cu4
_symmetry_space_group_name_H-M 'P 1'
_symmetry_Int_Tables_number 1
_cell_length_a 5.416
_cell_length_b 4.481
_cell_length_c 7.138
_cell_angle_alpha 90.00
_cell_angle_beta 90.96
_cell_angle_gamma 90.00
loop_
_symmetry_equiv_pos_as_xyz
'x,y,z'
loop_
_atom_site_label
_atom_site_type_symbol
_atom_site_fract_x
_atom_site_fract_y
_atom_site_fract_z
La1 La 0.000 0.000 0.000
Ho1 Ho 0.237 0.000 0.499
Ho2 Ho 0.503 0.500 0.143
Ho3 Ho 0.730 0.500 0.631
Cu1 Cu 0.252 0.500 0.778
Cu2 Cu 0.496 0.000 0.848
Cu3 Cu 0.736 0.000 0.360
Cu4 Cu 0.998 0.500 0.298
# Total DFT energy (no corrections) = -4.43 eV/atom
# SG = Pm, No. 6
# Formation energy from the elements = -0.237 eV per atom


# 9
# LaHoCuSi3 PBE optimized geometry
data_LaHoCuSi3
_symmetry_space_group_name_H-M 'P 1'
_symmetry_Int_Tables_number 1
_cell_length_a 8.180
_cell_length_b 8.104
_cell_length_c 5.833
_cell_angle_alpha 69.71
_cell_angle_beta 68.32
_cell_angle_gamma 41.97
loop_
_symmetry_equiv_pos_as_xyz
'x,y,z'
loop_
_atom_site_label
_atom_site_type_symbol
_atom_site_fract_x
_atom_site_fract_y
_atom_site_fract_z
La1 La 0.250 0.250 0.250
La2 La 0.750 0.750 0.750
Ho1 Ho 0.243 0.757 0.243
Ho2 Ho 0.757 0.243 0.757
Cu1 Cu 0.336 0.336 0.664
Cu2 Cu 0.664 0.664 0.336
Si1 Si 0.166 0.166 0.834
Si2 Si 0.173 0.662 0.827
Si3 Si 0.338 0.827 0.662
Si4 Si 0.662 0.173 0.338
Si5 Si 0.827 0.338 0.173
Si6 Si 0.834 0.834 0.166
# Total DFT energy (no corrections) = -5.63 eV/atom
# Relative energy among the computed polymorphs = 0.014 eV per atom
# SG = Fmmm, No. 69


# 10
# LaHoCu2Si2 PBE optimized geometry
data_LaHoCu2Si2
_symmetry_space_group_name_H-M 'P 1'
_symmetry_Int_Tables_number 1
_cell_length_a 4.188
_cell_length_b 4.188
_cell_length_c 7.808
_cell_angle_alpha 90.00
_cell_angle_beta 90.00
_cell_angle_gamma 120.00
loop_
_symmetry_equiv_pos_as_xyz
'x,y,z'
loop_
_atom_site_label
_atom_site_type_symbol
_atom_site_fract_x
_atom_site_fract_y
_atom_site_fract_z
La1 La 0.000 0.000 0.000
Ho1 Ho 0.000 0.000 0.500
Cu1 Cu 0.333 0.667 0.273
Cu2 Cu 0.667 0.333 0.727
Si1 Si 0.333 0.667 0.734
Si2 Si 0.667 0.333 0.266
# Total DFT energy (no corrections) = -5.28 eV/atom
# SG = P-3m1, No. 164


# 11
# LaHoCuSi3 PBE optimized geometry
data_LaHoCuSi3
_symmetry_space_group_name_H-M 'P 1'
_symmetry_Int_Tables_number 1
_cell_length_a 8.157
_cell_length_b 8.060
_cell_length_c 5.850
_cell_angle_alpha 69.74
_cell_angle_beta 67.98
_cell_angle_gamma 42.28
loop_
_symmetry_equiv_pos_as_xyz
'x,y,z'
loop_
_atom_site_label
_atom_site_type_symbol
_atom_site_fract_x
_atom_site_fract_y
_atom_site_fract_z
La1 La 0.244 0.756 0.244
La2 La 0.756 0.244 0.756
Ho1 Ho 0.250 0.250 0.250
Ho2 Ho 0.750 0.750 0.750
Cu1 Cu 0.332 0.332 0.668
Cu2 Cu 0.668 0.668 0.332
Si1 Si 0.168 0.659 0.832
Si2 Si 0.171 0.171 0.829
Si3 Si 0.341 0.832 0.659
Si4 Si 0.659 0.168 0.341
Si5 Si 0.829 0.829 0.171
Si6 Si 0.832 0.341 0.168
# Total DFT energy (no corrections) = -5.65 eV/atom
# Relative energy among the computed polymorphs = 0.000 eV per atom
# SG = Fmmm, No. 69


# 12
# LaHoCuTe3 PBE optimized geometry
data_LaHoCuTe3
_symmetry_space_group_name_H-M 'P 1'
_symmetry_Int_Tables_number 1
_cell_length_a 7.468
_cell_length_b 7.468
_cell_length_c 11.166
_cell_angle_alpha 90.00
_cell_angle_beta 90.00
_cell_angle_gamma 146.92
loop_
_symmetry_equiv_pos_as_xyz
'x,y,z'
loop_
_atom_site_label
_atom_site_type_symbol
_atom_site_fract_x
_atom_site_fract_y
_atom_site_fract_z
La1 La 0.234 0.766 0.750
La2 La 0.766 0.234 0.250
Ho1 Ho 0.000 0.000 0.000
Ho2 Ho 0.000 0.000 0.500
Cu1 Cu 0.471 0.529 0.250
Cu2 Cu 0.529 0.471 0.750
Te1 Te 0.086 0.914 0.250
Te2 Te 0.355 0.645 0.065
Te3 Te 0.355 0.645 0.435
Te4 Te 0.645 0.355 0.565
Te5 Te 0.645 0.355 0.935
Te6 Te 0.914 0.086 0.750
# Total DFT energy (no corrections) = -4.90 eV/atom
# SG = Cmcm, No. 63


- The highest total DFT energy (no corrections) belongs to which entry?
  KTbHoCu2


Copy entry 2 word for word.
# HoTm2Zn3CuIr2 PBE optimized geometry
data_HoTm2Zn3CuIr2
_symmetry_space_group_name_H-M 'P 1'
_symmetry_Int_Tables_number 1
_cell_length_a 3.780
_cell_length_b 7.136
_cell_length_c 7.136
_cell_angle_alpha 120.05
_cell_angle_beta 90.00
_cell_angle_gamma 90.00
loop_
_symmetry_equiv_pos_as_xyz
'x,y,z'
loop_
_atom_site_label
_atom_site_type_symbol
_atom_site_fract_x
_atom_site_fract_y
_atom_site_fract_z
Ho1 Ho 0.000 0.000 0.000
Tm1 Tm 0.000 0.411 0.822
Tm2 Tm 0.000 0.822 0.411
Zn1 Zn 0.500 0.164 0.411
Zn2 Zn 0.500 0.411 0.164
Zn3 Zn 0.500 0.658 0.658
Cu1 Cu 0.000 0.411 0.411
Ir1 Ir 0.500 0.078 0.744
Ir2 Ir 0.500 0.744 0.078
# Total DFT energy (no corrections) = -4.92 eV/atom
# SG = Amm2, No. 38
# Formation energy from the elements = -0.617 eV per atom


- Number 5 is which compound?
  KTbHoCu2